# Co2HgRu

Co2HgRu after structural relaxation (PBE, Alexandria via LeMat-Bulk).

```
4
Lattice="4.739 0.001 0.015 3.923 2.659 0.015 1.084 0.333 4.511" Properties=species:S:1:pos:R:3 pbc="T T T"
Co 0.084 0.026 0.051
Co 7.180 2.205 3.485
Hg 4.846 1.488 2.355
Ru 2.511 0.771 0.919
```

Density ... 12.270 g/cm3
DFT total energy ... -5.49 eV per atom
Magnetization ... 3.65 Bohr magnetons per cell
Space group ... Cm